Run P
Material: Tm3Mg4
Method: DFT, PBE
State: relaxed

The structure belongs to space group P6_3/m (No. 176); the cell edges are 8.9078, 8.9078 and 5.3620 Å and the angles 90.00°, 90.00° and 120.00°. The inequivalent atoms are Tm at (0.0627, 0.8139, 0.2500), Mg at (0.0996, 0.6152, 0.7500) and Mg at (0.3333, 0.6667, 0.2500).

---

Run Q
Material: Tm3Mg4
Method: DFT, PBE
State: relaxed

The structure belongs to space group P6_3/m (No. 176); the cell edges are 8.9626, 8.9626 and 5.2926 Å and the angles 90.00°, 90.00° and 120.00°. The inequivalent atoms are Tm at (0.0987, 0.4689, 0.2500), Mg at (0.0479, 0.2351, 0.7500) and Mg at (0.3333, 0.6667, 0.7500).

---

Which one sits at the bottom of the stability order? run Q does.